The following is a PBE+U calculation of crystalline YTlCoF6 at its relaxed geometry, from the Alexandria database.

abc: 7.3154 7.6384 10.3932
angles: 90.00 90.00 90.00
Space group Imma (No. 74)
Unique sites:
Y (0.0000, 0.0000, 0.0000) (multiplicity 4)
Tl (0.0000, 0.2500, 0.4077) (multiplicity 4)
Co (0.2500, 0.2500, 0.7500) (multiplicity 4)
F (0.0000, 0.2500, 0.1095) (multiplicity 4)
F (0.0000, 0.2500, 0.8457) (multiplicity 4)
F (0.2365, 0.0534, 0.6168) (multiplicity 16)

total energy	-5.68	eV/atom
crystal system	orthorhombic